The following is a DFT calculation (PBE) of a geometry-optimized Na2BiAu structure.

Cell: 3.5765 3.5765 31.2814 Å, 90.00 90.00 120.00°
Space group R-3m (No. 166, hexagonal axes)
Inequivalent atoms, fractional coordinates:
Na  0.0000  0.0000  0.1003 [6 per cell]
Bi  0.0000  0.0000  0.0000 [3 per cell]
Au  0.0000  0.0000  0.5000 [3 per cell]

## Properties
E_form ... -0.08 eV per atom
VASP energy ... -2.53 eV/atom